A plane-wave DFT calculation with PBE was carried out for a relaxed structure of CrCdAs2.

abc: 3.0061 3.0061 30.1885
angles: 90.00 90.00 120.00
With the nearest neighbours (Å) after each atom.
Fractional positions:
Cr 0.0000 0.0000 0.0000  6 As 2.47
Cr 0.3333 0.6667 0.6667  6 As 2.47
Cr 0.6667 0.3333 0.3333  6 As 2.47
Cd 0.0000 0.0000 0.5000  6 Cd 3.01
Cd 0.3333 0.6667 0.1667  6 Cd 3.01
Cd 0.6667 0.3333 0.8333  6 Cd 3.01
As 0.0000 0.0000 0.2750  3 Cr 2.47
As 0.0000 0.0000 0.7250  3 Cr 2.47
As 0.3333 0.6667 0.3917  3 Cr 2.47
As 0.3333 0.6667 0.9417  3 Cr 2.47
As 0.6667 0.3333 0.0583  3 Cr 2.47
As 0.6667 0.3333 0.6083  3 Cr 2.47

energy of formation from the pure elements: 0.003 eV/atom
density: 6.626 g cm⁻³
M_tot: 1.51 μB/cell
crystal system: trigonal

A plane-wave DFT calculation with PBE was carried out for a relaxed structure of CoRe2Rh.

abc: 2.7107 2.7107 25.9558
angles: 90.00 90.00 120.00
With the nearest neighbours (Å) after each atom.
Fractional positions:
Co 0.0000 0.0000 0.0000  6 Re 2.60, 6 Co 2.71
Co 0.3333 0.6667 0.6667  6 Re 2.60, 6 Co 2.71
Co 0.6667 0.3333 0.3333  6 Re 2.60, 6 Co 2.71
Re 0.0000 0.0000 0.2532  3 Co 2.60, 6 Re 2.71, 3 Rh 2.74
Re 0.0000 0.0000 0.7468  3 Co 2.60, 6 Re 2.71, 3 Rh 2.74
Re 0.3333 0.6667 0.4134  3 Co 2.60, 6 Re 2.71, 3 Rh 2.74
Re 0.3333 0.6667 0.9199  3 Co 2.60, 6 Re 2.71, 3 Rh 2.74
Re 0.6667 0.3333 0.0801  3 Co 2.60, 6 Re 2.71, 3 Rh 2.74
Re 0.6667 0.3333 0.5866  3 Co 2.60, 6 Re 2.71, 3 Rh 2.74
Rh 0.0000 0.0000 0.5000  6 Rh 2.71, 6 Re 2.74
Rh 0.3333 0.6667 0.1667  6 Rh 2.71, 6 Re 2.74
Rh 0.6667 0.3333 0.8333  6 Rh 2.71, 6 Re 2.74

energy of formation from the pure elements: 0.077 eV/atom
density: 16.113 g cm⁻³
M_tot: 0.93 μB/cell
excess energy over the best structure of this formula in the dataset: 0.167 eV per atom
crystal system: trigonal

A plane-wave DFT calculation with PBE was carried out for a relaxed structure of Sr2CoIr.

abc: 4.4357 4.4357 9.5845
angles: 90.00 90.00 90.00
With the nearest neighbours (Å) after each atom.
Fractional positions:
Sr 0.0000 0.0000 0.0000  4 Ir 3.14, 4 Co 3.27, 4 Sr 3.27
Sr 0.0000 0.5000 0.2500  4 Co 3.14, 4 Ir 3.27, 4 Sr 3.27
Sr 0.5000 0.0000 0.7500  4 Co 3.14, 4 Ir 3.27, 4 Sr 3.27
Sr 0.5000 0.5000 0.5000  4 Ir 3.14, 4 Co 3.27, 4 Sr 3.27
Co 0.0000 0.5000 0.7500  8 Sr 3.14-3.27, 4 Ir 3.27
Co 0.5000 0.0000 0.2500  8 Sr 3.14-3.27, 4 Ir 3.27
Ir 0.0000 0.0000 0.5000  8 Sr 3.14-3.27, 4 Co 3.27
Ir 0.5000 0.5000 0.0000  8 Sr 3.14-3.27, 4 Co 3.27

energy of formation from the pure elements: 0.536 eV/atom
density: 7.509 g cm⁻³
M_tot: 3.68 μB/cell
crystal system: tetragonal

A plane-wave DFT calculation with PBE was carried out for a relaxed structure of Y2TlSb.

abc: 7.6098 7.6098 7.6098
angles: 90.00 90.00 90.00
With the nearest neighbours (Å) after each atom.
Fractional positions:
Y 0.2500 0.2500 0.2500  4 Sb 3.30, 4 Tl 3.30
Y 0.2500 0.2500 0.7500  4 Tl 3.30, 4 Sb 3.30
Y 0.2500 0.7500 0.2500  4 Tl 3.30, 4 Sb 3.30
Y 0.2500 0.7500 0.7500  4 Sb 3.30, 4 Tl 3.30
Y 0.7500 0.2500 0.2500  4 Tl 3.30, 4 Sb 3.30
Y 0.7500 0.2500 0.7500  4 Sb 3.30, 4 Tl 3.30
Y 0.7500 0.7500 0.2500  4 Sb 3.30, 4 Tl 3.30
Y 0.7500 0.7500 0.7500  4 Tl 3.30, 4 Sb 3.30
Tl 0.0000 0.0000 0.0000  8 Y 3.30
Tl 0.0000 0.5000 0.5000  8 Y 3.30
Tl 0.5000 0.0000 0.5000  8 Y 3.30
Tl 0.5000 0.5000 0.0000  8 Y 3.30
Sb 0.0000 0.0000 0.5000  8 Y 3.30
Sb 0.0000 0.5000 0.0000  8 Y 3.30
Sb 0.5000 0.0000 0.0000  8 Y 3.30
Sb 0.5000 0.5000 0.5000  8 Y 3.30

density: 7.596 g cm⁻³
M_tot: 0.00 μB/cell
excess energy over the best structure of this formula in the dataset: 0.226 eV per atom
crystal system: cubic

A plane-wave DFT calculation with PBE was carried out for a relaxed structure of LaTb9Dy2.

abc: 5.0548 5.0548 15.1773
angles: 90.00 90.00 90.00
With the nearest neighbours (Å) after each atom.
Fractional positions:
La 0.0000 0.0000 0.0000  12 Tb 3.57-3.62
Tb 0.0000 0.5000 0.1704  2 Dy 3.55, 8 Tb 3.56-3.62, 2 La 3.62
Tb 0.0000 0.5000 0.5000  8 Tb 3.55-3.57, 4 Dy 3.56
Tb 0.0000 0.5000 0.8296  2 Dy 3.55, 8 Tb 3.56-3.62, 2 La 3.62
Tb 0.5000 0.0000 0.1704  2 Dy 3.55, 8 Tb 3.56-3.62, 2 La 3.62
Tb 0.5000 0.0000 0.5000  8 Tb 3.55-3.57, 4 Dy 3.56
Tb 0.5000 0.0000 0.8296  2 Dy 3.55, 8 Tb 3.56-3.62, 2 La 3.62
Tb 0.5000 0.5000 0.0000  4 La 3.57, 8 Tb 3.62
Tb 0.5000 0.5000 0.3358  8 Tb 3.55-3.56, 4 Dy 3.57
Tb 0.5000 0.5000 0.6642  8 Tb 3.55-3.56, 4 Dy 3.57
Dy 0.0000 0.0000 0.3346  12 Tb 3.55-3.57
Dy 0.0000 0.0000 0.6654  12 Tb 3.55-3.57

energy of formation from the pure elements: 0.023 eV/atom
density: 8.111 g cm⁻³
M_tot: 0.00 μB/cell
excess energy over the best structure of this formula in the dataset: 0.000 eV per atom
crystal system: tetragonal

A plane-wave DFT calculation with PBE was carried out for a relaxed structure of Pr4Ge3Rh.

abc: 4.1651 4.4051 11.1095
angles: 90.00 90.00 90.00
With the nearest neighbours (Å) after each atom.
Fractional positions:
Pr 0.0000 0.0000 0.0000  1 Rh 3.07, 6 Ge 3.13-3.36
Pr 0.0000 0.5000 0.4862  5 Ge 3.11-3.17, 2 Rh 3.21
Pr 0.5000 0.0000 0.7104  7 Ge 3.11-3.28
Pr 0.5000 0.5000 0.2172  4 Rh 3.10, 3 Ge 3.19
Ge 0.0000 0.5000 0.7717  2 Ge 2.72
Ge 0.5000 0.0000 0.4247  2 Rh 2.66
Ge 0.5000 0.5000 0.9297  2 Ge 2.72
Rh 0.0000 0.0000 0.2760  2 Ge 2.66

energy of formation from the pure elements: -0.773 eV/atom
density: 7.205 g cm⁻³
M_tot: 0.00 μB/cell
crystal system: orthorhombic

A plane-wave DFT calculation with PBE was carried out for a relaxed structure of Zn2CrAg.

abc: 7.1355 7.1355 5.4821
angles: 90.00 90.00 90.00
With the nearest neighbours (Å) after each atom.
Fractional positions:
Zn 0.2490 0.7500 0.1250  2 Ag 2.61, 2 Cr 2.62, 2 Zn 2.74
Zn 0.2500 0.2490 0.8750  2 Ag 2.61, 2 Cr 2.62, 2 Zn 2.74
Zn 0.2500 0.2510 0.3750  2 Ag 2.61, 2 Cr 2.62, 2 Zn 2.74
Zn 0.2510 0.7500 0.6250  2 Ag 2.61, 2 Cr 2.62, 2 Zn 2.74
Zn 0.7490 0.2500 0.6250  2 Ag 2.61, 2 Cr 2.62, 2 Zn 2.74
Zn 0.7500 0.7490 0.3750  2 Ag 2.61, 2 Cr 2.62, 2 Zn 2.74
Zn 0.7500 0.7510 0.8750  2 Ag 2.61, 2 Cr 2.62, 2 Zn 2.74
Zn 0.7510 0.2500 0.1250  2 Ag 2.61, 2 Cr 2.62, 2 Zn 2.74
Cr 0.0000 0.0000 0.5000  4 Zn 2.62, 2 Ag 2.74
Cr 0.0000 0.5000 0.7500  4 Zn 2.62, 2 Ag 2.74
Cr 0.5000 0.0000 0.2500  4 Zn 2.62, 2 Ag 2.74
Cr 0.5000 0.5000 0.0000  4 Zn 2.62, 2 Ag 2.74
Ag 0.0000 0.0000 0.0000  4 Zn 2.61, 2 Cr 2.74
Ag 0.0000 0.5000 0.2500  4 Zn 2.61, 2 Cr 2.74
Ag 0.5000 0.0000 0.7500  4 Zn 2.61, 2 Cr 2.74
Ag 0.5000 0.5000 0.5000  4 Zn 2.61, 2 Cr 2.74

energy of formation from the pure elements: 0.438 eV/atom
density: 6.917 g cm⁻³
M_tot: 14.78 μB/cell
crystal system: tetragonal

A plane-wave DFT calculation with PBE was carried out for a relaxed structure of RuS2Br5.

abc: 5.1838 7.5930 8.0431
angles: 62.55 71.21 90.00
With the nearest neighbours (Å) after each atom.
Fractional positions:
Ru 0.0000 0.0000 0.0000  6 Br 2.50-2.60
S 0.1826 0.4999 0.0001  1 S 1.86
S 0.5407 0.4998 0.0001  1 S 1.86
Br 0.1312 0.3640 0.7386  1 Ru 2.50
Br 0.1312 0.8914 0.7386  1 Ru 2.50
Br 0.5015 0.9994 0.0010  2 Ru 2.58-2.60
Br 0.8698 0.1086 0.2616  1 Ru 2.50
Br 0.8699 0.6359 0.2615  1 Ru 2.50

density: 3.582 g cm⁻³
E_tot: -3.246 eV/atom
M_tot: 1.33 μB/cell
crystal system: triclinic

A plane-wave DFT calculation with PBE was carried out for a relaxed structure of Mg2CrHg2.

abc: 4.1282 4.1282 14.0753
angles: 90.00 90.00 90.00
With the nearest neighbours (Å) after each atom.
Fractional positions:
Mg 0.0000 0.0000 0.1001  1 Mg 2.82, 4 Hg 2.95
Mg 0.0000 0.0000 0.8999  1 Mg 2.82, 4 Hg 2.95
Mg 0.5000 0.5000 0.3999  1 Mg 2.82, 4 Hg 2.95
Mg 0.5000 0.5000 0.6001  1 Mg 2.82, 4 Hg 2.95
Cr 0.0000 0.0000 0.5000  8 Mg 3.24
Cr 0.5000 0.5000 0.0000  8 Mg 3.24
Hg 0.0000 0.5000 0.2500  4 Hg 2.92, 4 Mg 2.95
Hg 0.0000 0.5000 0.7500  4 Hg 2.92, 4 Mg 2.95
Hg 0.5000 0.0000 0.2500  4 Hg 2.92, 4 Mg 2.95
Hg 0.5000 0.0000 0.7500  4 Hg 2.92, 4 Mg 2.95

energy of formation from the pure elements: 0.377 eV/atom
density: 6.947 g cm⁻³
M_tot: 8.76 μB/cell
excess energy over the best structure of this formula in the dataset: 0.000 eV per atom
crystal system: tetragonal

A plane-wave DFT calculation with PBE was carried out for a relaxed structure of LaCr2Ag.

abc: 4.4143 4.4143 16.1104
angles: 90.00 90.00 120.00
With the nearest neighbours (Å) after each atom.
Fractional positions:
La 0.0000 0.0000 0.0000  4 Ag 3.25-3.36, 7 Cr 3.29-3.34
La 0.3333 0.6667 0.6667  4 Ag 3.25-3.36, 7 Cr 3.29-3.34
La 0.6667 0.3333 0.3333  4 Ag 3.25-3.36, 7 Cr 3.29-3.34
Cr 0.0000 0.0000 0.2047  3 Cr 2.55, 3 Ag 2.85
Cr 0.0000 0.0000 0.5327  3 Cr 2.55, 3 Ag 2.82
Cr 0.3333 0.6667 0.1994  3 Cr 2.55, 3 Ag 2.82
Cr 0.3333 0.6667 0.8713  3 Cr 2.55, 3 Ag 2.85
Cr 0.6667 0.3333 0.5380  3 Cr 2.55, 3 Ag 2.85
Cr 0.6667 0.3333 0.8660  3 Cr 2.55, 3 Ag 2.82
Ag 0.0000 0.0000 0.7915  6 Cr 2.82-2.85
Ag 0.3333 0.6667 0.4582  6 Cr 2.82-2.85
Ag 0.6667 0.3333 0.1248  6 Cr 2.82-2.85

energy of formation from the pure elements: 0.315 eV/atom
density: 6.428 g cm⁻³
M_tot: 0.01 μB/cell
excess energy over the best structure of this formula in the dataset: 0.020 eV per atom
crystal system: trigonal

A plane-wave DFT calculation with PBE was carried out for a relaxed structure of Er4GaPbSe2.

abc: 6.9619 4.0290 7.6277
angles: 90.00 107.77 90.00
With the nearest neighbours (Å) after each atom.
Fractional positions:
Er 0.2355 0.0000 0.2346  3 Se 2.86-2.93, 1 Ga 2.97, 2 Pb 3.05
Er 0.2437 0.5000 0.7583  3 Se 2.86-2.94, 2 Ga 2.96, 1 Pb 3.03
Er 0.7563 0.5000 0.2417  3 Se 2.86-2.94, 2 Ga 2.96, 1 Pb 3.03
Er 0.7645 0.0000 0.7654  3 Se 2.86-2.93, 1 Ga 2.97, 2 Pb 3.05
Ga 0.0000 0.0000 0.5000  6 Er 2.96-2.97
Pb 0.5000 0.5000 0.5000  6 Er 3.03-3.05
Se 0.0000 0.5000 0.0000  6 Er 2.86
Se 0.5000 0.0000 0.0000  6 Er 2.93-2.94

density: 8.997 g cm⁻³
E_tot: -5.081 eV/atom
M_tot: 0.00 μB/cell
crystal system: monoclinic

A plane-wave DFT calculation with PBE was carried out for a relaxed structure of BaMgAl2Cr.

abc: 5.0284 5.0284 5.6665
angles: 90.00 90.00 90.00
With the nearest neighbours (Å) after each atom.
Fractional positions:
Ba 0.0000 0.0000 0.0000  2 Cr 2.83
Mg 0.5000 0.5000 0.0000  4 Ba 3.56, 8 Al 3.79
Al 0.0000 0.5000 0.5000  2 Cr 2.51
Al 0.5000 0.0000 0.5000  2 Cr 2.51
Cr 0.0000 0.0000 0.5000  4 Al 2.51

energy of formation from the pure elements: 0.525 eV/atom
density: 3.101 g cm⁻³
M_tot: 2.65 μB/cell
crystal system: tetragonal

density of number 6 (Pr4Ge3Rh)? 7.205 g cm⁻³